1.
# CdSbI

CdSbI after structural relaxation (PBE-GGA, Alexandria).

Spin magnetization in μB/f.u.: 0.00
Raw total energy in hartree per atom: -0.0902
ΔE_f (raw) in eV per formula unit: -0.779
Offset from the most stable computed form in eV per atom: 0.0514

Cell lengths 7.5643, 4.2566, 8.2509 Å; angles 90.00, 106.19, 90.00 degrees
With the nearest neighbours (Å) after each atom.
Space group P2_1/m (No. 11)
Unique sites:
Cd: 0.1956 0.2500 0.1867 x2  1 Sb 2.78, 3 I 2.99-3.06
Sb: 0.3805 0.2500 0.5285 x2  1 Cd 2.78, 2 Sb 2.91
I: 0.2247 0.7500 0.9410 x2  3 Cd 2.99-3.06


2.
# Cd4Sb2I3

Cd4Sb2I3 after structural relaxation (PBE-GGA, Alexandria).

Spin magnetization in μB/f.u.: 0.00
Raw total energy in hartree per atom: -0.0759
ΔE_f (raw) in eV per formula unit: -2.036
Offset from the most stable computed form in eV per atom: 0.1089

Cell lengths 11.2707, 14.3322, 8.2608 Å; angles 90.00, 108.04, 90.00 degrees
With the nearest neighbours (Å) after each atom.
Space group C2/c (No. 15)
Unique sites:
Cd: 0.1133 0.2080 0.0128 x8  2 I 2.91-3.09, 2 Sb 2.93-2.99
Cd: 0.1749 0.4477 0.5294 x8  2 Sb 2.82-2.84, 2 I 3.01-3.13
Sb: 0.1456 0.3846 0.8378 x8  4 Cd 2.82-2.99, 1 Sb 3.15
I: 0.0000 0.3184 0.2500 x4  4 Cd 3.09-3.13
I: 0.1218 0.1076 0.6167 x8  2 Cd 2.91-3.01


Look up the raw total energy of the first one. -0.0902 hartree per atom


What is the raw total energy in the first record? -0.0902 hartree per atom